Below is a geometry-optimized Li4BeF6 structure, with properties calculated at the PBE level.

CIF file:
```
data_Li4BeF6
_chemical_formula_sum 'Li8 Be2 F12'
_cell_length_a 5.458
_cell_length_b 5.495
_cell_length_c 9.492
_cell_angle_alpha 74.44
_cell_angle_beta 73.29
_cell_angle_gamma 60.22
_symmetry_space_group_name_H-M 'P 1'
_symmetry_Int_Tables_number 1
loop_
_symmetry_equiv_pos_as_xyz
'x,y,z'
loop_
_atom_site_label
_atom_site_type_symbol
_atom_site_fract_x
_atom_site_fract_y
_atom_site_fract_z
F1 F 0.506 0.613 0.448
Li1 Li 0.076 0.479 0.153
F2 F 0.003 0.154 0.266
F3 F 0.743 0.828 0.223
F4 F 0.956 0.555 0.967
F5 F 0.407 0.529 0.142
Li2 Li 0.751 0.177 0.145
Be1 Be 0.685 0.780 0.396
Li3 Li 0.927 0.677 0.645
F6 F 0.433 0.113 0.948
Li4 Li 0.551 0.720 0.963
Li5 Li 0.293 0.979 0.653
F7 F 0.577 0.654 0.766
F8 F 0.982 0.613 0.445
Li6 Li 0.766 0.220 0.463
F9 F 0.923 0.029 0.642
F10 F 0.206 0.328 0.723
Li7 Li 0.697 0.241 0.805
Be2 Be 0.140 0.280 0.896
F11 F 0.523 0.055 0.467
Li8 Li 0.257 0.741 0.305
F12 F 0.959 0.113 0.945
```

## Properties
The uncorrected energy is -5.079 eV per atom. The energy relative to the elements, uncorrected comes out at -3209 kJ/mol of formula units. As for the symmetry: Cc, No. 9. The total magnetic moment comes out at 0.25 μB/cell.

Below is a geometry-optimized Li2BeF4 structure, with properties calculated at the PBE level.

CIF file:
```
data_Li2BeF4
_chemical_formula_sum 'Li4 Be2 F8'
_cell_length_a 5.402
_cell_length_b 5.402
_cell_length_c 5.973
_cell_angle_alpha 105.37
_cell_angle_beta 105.37
_cell_angle_gamma 114.30
_symmetry_space_group_name_H-M 'P 1'
_symmetry_Int_Tables_number 1
loop_
_symmetry_equiv_pos_as_xyz
'x,y,z'
loop_
_atom_site_label
_atom_site_type_symbol
_atom_site_fract_x
_atom_site_fract_y
_atom_site_fract_z
Li1 Li 0.826 0.174 0.750
F1 F 0.166 0.702 0.915
Be1 Be 0.875 0.125 0.250
Li2 Li 0.426 0.574 0.750
F2 F 0.834 0.298 0.085
F3 F 0.249 0.215 0.909
Be2 Be 0.125 0.875 0.750
F4 F 0.702 0.166 0.415
F5 F 0.785 0.751 0.591
F6 F 0.751 0.785 0.091
F7 F 0.215 0.249 0.409
Li3 Li 0.174 0.826 0.250
F8 F 0.298 0.834 0.585
Li4 Li 0.574 0.426 0.250
```

## Properties
The uncorrected energy is -5.224 eV per atom. The energy relative to the elements, uncorrected comes out at -2077 kJ/mol of formula units. As for the symmetry: C2/c, No. 15. The total magnetic moment comes out at 0.00 μB/cell.

Below is a geometry-optimized Li3Be5F12 structure, with properties calculated at the PBE level.

CIF file:
```
data_Li3Be5F12
_chemical_formula_sum 'Li12 Be20 F48'
_cell_length_a 9.840
_cell_length_b 9.840
_cell_length_c 9.840
_cell_angle_alpha 109.47
_cell_angle_beta 109.47
_cell_angle_gamma 109.47
_symmetry_space_group_name_H-M 'P 1'
_symmetry_Int_Tables_number 1
loop_
_symmetry_equiv_pos_as_xyz
'x,y,z'
loop_
_atom_site_label
_atom_site_type_symbol
_atom_site_fract_x
_atom_site_fract_y
_atom_site_fract_z
F1 F 0.616 0.608 0.925
Be1 Be 0.500 0.000 0.000
F2 F 0.008 0.392 0.816
F3 F 0.116 0.425 0.108
F4 F 0.425 0.116 0.608
F5 F 0.309 0.425 0.816
F6 F 0.008 0.616 0.691
F7 F 0.809 0.492 0.384
F8 F 0.508 0.191 0.116
F9 F 0.691 0.575 0.184
F10 F 0.384 0.992 0.809
F11 F 0.075 0.892 0.384
F12 F 0.392 0.008 0.316
F13 F 0.492 0.684 0.108
Li1 Li 0.875 0.750 0.125
F14 F 0.684 0.191 0.575
F15 F 0.116 0.691 0.508
F16 F 0.816 0.925 0.309
Li2 Li 0.750 0.875 0.625
F17 F 0.992 0.384 0.309
F18 F 0.384 0.392 0.075
F19 F 0.575 0.691 0.684
F20 F 0.925 0.816 0.809
Be2 Be 0.125 0.750 0.375
F21 F 0.492 0.809 0.884
F22 F 0.616 0.008 0.191
F23 F 0.316 0.809 0.425
Be3 Be 0.625 0.750 0.875
F24 F 0.684 0.492 0.608
F25 F 0.508 0.316 0.892
F26 F 0.892 0.075 0.884
F27 F 0.575 0.884 0.392
F28 F 0.992 0.608 0.184
Be4 Be 0.500 0.500 0.500
Li3 Li 0.250 0.125 0.375
F29 F 0.392 0.384 0.575
Be5 Be 0.875 0.625 0.750
Be6 Be 0.250 0.375 0.625
F30 F 0.884 0.309 0.492
F31 F 0.191 0.684 0.075
F32 F 0.809 0.316 0.925
F33 F 0.309 0.884 0.992
F34 F 0.608 0.992 0.684
Be7 Be 0.000 0.500 0.000
Li4 Li 0.125 0.875 0.750
Be8 Be 0.125 0.375 0.250
Li5 Li 0.625 0.375 0.750
F35 F 0.075 0.184 0.191
F36 F 0.816 0.892 0.008
Li6 Li 0.625 0.250 0.375
Li7 Li 0.250 0.625 0.875
Be9 Be 0.375 0.125 0.750
Be10 Be 0.750 0.625 0.375
F37 F 0.191 0.508 0.616
F38 F 0.184 0.075 0.691
F39 F 0.925 0.108 0.616
Be11 Be 0.000 0.000 0.000
Li8 Li 0.125 0.250 0.875
Be12 Be 0.375 0.250 0.125
F40 F 0.691 0.116 0.008
F41 F 0.884 0.575 0.892
Li9 Li 0.875 0.125 0.250
F42 F 0.425 0.309 0.316
Be13 Be 0.625 0.875 0.250
F43 F 0.608 0.616 0.425
Be14 Be 0.000 0.500 0.500
Be15 Be 0.875 0.250 0.625
Be16 Be 0.500 0.000 0.500
Li10 Li 0.750 0.375 0.125
Be17 Be 0.500 0.500 0.000
Be18 Be 0.000 0.000 0.500
F44 F 0.184 0.108 0.992
F45 F 0.108 0.184 0.492
F46 F 0.892 0.816 0.508
F47 F 0.108 0.925 0.116
Be19 Be 0.750 0.125 0.875
Be20 Be 0.250 0.875 0.125
Li11 Li 0.375 0.750 0.625
F48 F 0.316 0.508 0.392
Li12 Li 0.375 0.625 0.250
```

## Properties
The uncorrected energy is -5.157 eV per atom. The energy relative to the elements, uncorrected comes out at -5432 kJ/mol of formula units. As for the symmetry: Ia-3d, No. 230. The total magnetic moment comes out at 0.00 μB/cell.